First-principles (GGA-PBE) data for crystalline TcRu2Br at its relaxed geometry, as listed in Alexandria.

space group = No. 160
N(E_F) = 4.14 states/eV per cell
calculated total energy = -28.20 eV for the cell shown
formation energy without anion corrections = 597 meV per atom

a b c (Å): 8.7580 8.7580 8.7580
angles (deg): 18.89 18.89 18.89
Last column: nearest neighbours and their distance in Å.
Positions (direct):
1 Ru 0.9977 0.9977 0.9977  9 Ru 2.68-2.87, 3 Br 2.79
2 Ru 0.2495 0.2495 0.2495  3 Tc 2.68, 9 Ru 2.68-2.87
3 Tc 0.5015 0.5015 0.5015  3 Ru 2.68, 3 Br 2.72, 6 Tc 2.87
4 Br 0.7513 0.7513 0.7513  3 Tc 2.72, 3 Ru 2.79, 6 Br 2.87